*1*
Ac2LuAg | PBE | relaxed

Lattice parameters (Å, degrees): 3.9803 3.9803 8.6614 90.00 90.00 90.00
Element x y z (fractional)
Ac: 0.0000 0.0000 0.2271
Ac: 0.0000 0.0000 0.7729
Lu: 0.5000 0.5000 0.5000
Ag: 0.5000 0.5000 0.0000

Results
**DOS(E_F)**: 4.89 states/eV/f.u.
**ρ**: 8.92 g cm⁻³
**Crystal system**: tetragonal

---

*2*
Ac2LuAg | PBE | relaxed

Lattice parameters (Å, degrees): 12.3475 12.3475 12.3475 17.47 17.47 17.47
Element x y z (fractional)
Ac: 0.0860 0.0860 0.0860
Ac: 0.9140 0.9140 0.9140
Lu: 0.5000 0.5000 0.5000
Ag: 0.0000 0.0000 0.0000

Results
**DOS(E_F)**: 4.05 states/eV/f.u.
**ρ**: 8.26 g cm⁻³
**Crystal system**: trigonal

---

Quick one: least stable of them? *2*

---

*1*
Ac2Mg5Ag3 | PBE | relaxed

Lattice parameters (Å, degrees): 4.5642 4.5642 12.8074 90.00 90.00 90.00
Element x y z (fractional)
Ac: 0.0000 0.5000 0.2279
Ac: 0.5000 0.0000 0.7721
Mg: 0.0000 0.0000 0.5000
Mg: 0.0000 0.5000 0.6518
Mg: 0.5000 0.0000 0.3482
Mg: 0.5000 0.5000 0.0000
Mg: 0.5000 0.5000 0.5000
Ag: 0.0000 0.0000 0.0000
Ag: 0.0000 0.5000 0.8654
Ag: 0.5000 0.0000 0.1346

Results
**DOS(E_F)**: 7.09 states/eV/f.u.
**ρ**: 5.60 g cm⁻³
**Crystal system**: tetragonal

---

*2*
Ac2Mg5Ag3 | PBE | relaxed

Lattice parameters (Å, degrees): 14.1235 14.1235 7.6605 90.00 90.00 160.34
Element x y z (fractional)
Ac: 0.0209 0.9791 0.5000
Ac: 0.3235 0.6765 0.4504
Ac: 0.6765 0.3235 0.9504
Ac: 0.9791 0.0209 0.0000
Mg: 0.1015 0.8985 0.1405
Mg: 0.2066 0.7934 0.6358
Mg: 0.2098 0.7902 0.2511
Mg: 0.3694 0.6306 0.9665
Mg: 0.4430 0.5570 0.3233
Mg: 0.5570 0.4430 0.8233
Mg: 0.6306 0.3694 0.4665
Mg: 0.7902 0.2098 0.7511
Mg: 0.7934 0.2066 0.1358
Mg: 0.8985 0.1015 0.6405
Ag: 0.1108 0.8892 0.7597
Ag: 0.2671 0.7329 0.9411
Ag: 0.4507 0.5493 0.7076
Ag: 0.5493 0.4507 0.2076
Ag: 0.7329 0.2671 0.4411
Ag: 0.8892 0.1108 0.2597

Results
**DOS(E_F)**: 8.00 states/eV/f.u.
**ρ**: 5.81 g cm⁻³
**Crystal system**: orthorhombic

---

Quick one: least stable of them? *1*

---

*1*
Ac2MgAg3 | PBE | relaxed

Lattice parameters (Å, degrees): 9.2976 9.2976 9.2976 155.65 146.55 41.81
Element x y z (fractional)
Ac: 0.1530 0.1530 0.0000
Ac: 0.8470 0.8470 0.0000
Mg: 0.5000 0.5000 0.0000
Ag: 0.0000 0.5000 0.5000
Ag: 0.3410 0.3410 0.0000
Ag: 0.6590 0.6590 0.0000

Results
**DOS(E_F)**: 5.68 states/eV/f.u.
**ρ**: 7.30 g cm⁻³
**Crystal system**: orthorhombic

---

*2*
Ac2MgAg3 | PBE | relaxed

Lattice parameters (Å, degrees): 9.4676 9.4676 9.4676 153.15 152.99 38.45
Element x y z (fractional)
Ac: 0.0000 0.0000 0.0000
Ac: 0.7681 0.2681 0.5000
Mg: 0.5971 0.5971 0.0000
Ag: 0.1834 0.6834 0.5000
Ag: 0.3413 0.8413 0.5000
Ag: 0.4374 0.4374 0.0000

Results
**DOS(E_F)**: 3.94 states/eV/f.u.
**ρ**: 7.66 g cm⁻³
**Crystal system**: orthorhombic

---

Quick one: least stable of them? *1*

---

*1*
Ac2MgAg2 | PBE | relaxed

Lattice parameters (Å, degrees): 8.1175 8.1175 8.1175 121.24 78.00 133.56
Element x y z (fractional)
Ac: 0.1583 0.1650 0.3233
Ac: 0.3417 0.6650 0.0068
Ac: 0.6583 0.3350 0.9932
Ac: 0.8417 0.8350 0.6767
Mg: 0.2500 0.7500 0.5000
Mg: 0.7500 0.2500 0.5000
Ag: 0.0962 0.7572 0.8535
Ag: 0.4038 0.2572 0.6610
Ag: 0.5962 0.7428 0.3390
Ag: 0.9038 0.2428 0.1465

Results
**DOS(E_F)**: 4.60 states/eV/f.u.
**ρ**: 7.17 g cm⁻³
**Crystal system**: orthorhombic

---

*2*
Ac2MgAg2 | PBE | relaxed

Lattice parameters (Å, degrees): 8.3297 8.3297 4.4030 90.00 90.00 90.00
Element x y z (fractional)
Ac: 0.1743 0.3257 0.0000
Ac: 0.3257 0.8257 0.0000
Ac: 0.6743 0.1743 0.0000
Ac: 0.8257 0.6743 0.0000
Mg: 0.0000 0.0000 0.5000
Mg: 0.5000 0.5000 0.5000
Ag: 0.1257 0.6257 0.5000
Ag: 0.3743 0.1257 0.5000
Ag: 0.6257 0.8743 0.5000
Ag: 0.8743 0.3743 0.5000

Results
**DOS(E_F)**: 4.55 states/eV/f.u.
**ρ**: 7.55 g cm⁻³
**Crystal system**: tetragonal

---

Quick one: least stable of them? *1*